# 1
# AlTcPt

AlTcPt after structural relaxation (PBE, Alexandria via LeMat-Bulk).

Unit cell a=4.235 b=4.235 c=4.235 alpha=60.00 beta=60.00 gamma=60.00
Site moments in Bohr magnetons follow the coordinates.
Fractional coordinates of all 3 atoms:
Pt1 0.250 0.250 0.250  0.25
Al1 0.500 0.500 0.500  -0.03
Tc1 0.000 0.000 0.000  1.60

Properties
E_tot (eV/cell): -20.401
Energy above the lowest structure with this stoichiometry (meV/atom): 347



# 2
# AlTcPt

AlTcPt after structural relaxation (PBE, Alexandria via LeMat-Bulk).

Unit cell a=6.094 b=6.094 c=2.761 alpha=76.91 beta=76.91 gamma=26.18
Fractional coordinates of all 3 atoms:
Al1 0.999 0.999 0.001
Tc1 0.664 0.664 0.336
Pt1 0.337 0.337 0.663

Properties
E_tot (eV/cell): -21.442
Energy above the lowest structure with this stoichiometry (meV/atom): 0



# 3
# AlTcPt2

AlTcPt2 after structural relaxation (PBE, Alexandria via LeMat-Bulk).

Unit cell a=8.904 b=8.904 c=8.904 alpha=18.18 beta=18.18 gamma=18.18
Fractional coordinates of all 4 atoms:
Al1 0.750 0.750 0.750
Tc1 0.497 0.497 0.497
Pt1 0.006 0.006 0.006
Pt2 0.247 0.247 0.247

Properties
E_tot (eV/cell): -27.609
Energy above the lowest structure with this stoichiometry (meV/atom): 147



# 4
# AlTc2Pt

AlTc2Pt after structural relaxation (PBE, Alexandria via LeMat-Bulk).

Unit cell a=4.873 b=4.873 c=4.590 alpha=80.21 beta=80.21 gamma=33.31
Fractional coordinates of all 4 atoms:
Al1 0.750 0.750 0.750
Tc1 0.501 0.501 0.508
Tc2 0.999 0.999 0.992
Pt1 0.250 0.250 0.250

Properties
E_tot (eV/cell): -31.533
Energy above the lowest structure with this stoichiometry (meV/atom): 143



# 5
# AlTcPt2

AlTcPt2 after structural relaxation (PBE, Alexandria via LeMat-Bulk).

Unit cell a=4.450 b=4.450 c=4.450 alpha=60.00 beta=60.00 gamma=60.00
Site moments in Bohr magnetons follow the coordinates.
Fractional coordinates of all 4 atoms:
Pt1 0.750 0.750 0.750  0.15
Pt2 0.250 0.250 0.250  0.15
Tc1 0.500 0.500 0.500  1.77
Al1 0.000 0.000 0.000  0.00

Properties
E_tot (eV/cell): -27.117
Energy above the lowest structure with this stoichiometry (meV/atom): 270



# 6
# Al2TcPt2

Al2TcPt2 after structural relaxation (PBE, Alexandria via LeMat-Bulk).

Unit cell a=7.341 b=7.341 c=2.759 alpha=90.00 beta=90.00 gamma=90.00
Fractional coordinates of all 10 atoms:
Pt1 0.152 0.652 0.500
Pt2 0.848 0.348 0.500
Pt3 0.652 0.848 0.500
Pt4 0.348 0.152 0.500
Al1 0.147 0.353 0.000
Al2 0.853 0.647 0.000
Al3 0.353 0.853 0.000
Al4 0.647 0.147 0.000
Tc1 0.000 0.000 0.000
Tc2 0.500 0.500 0.000

Properties
E_tot (eV/cell): -65.912
Energy above the lowest structure with this stoichiometry (meV/atom): 0



# 7
# TiAlTcPt2

TiAlTcPt2 after structural relaxation (PBE, Alexandria via LeMat-Bulk).

Unit cell a=4.795 b=4.555 c=4.795 alpha=90.00 beta=90.00 gamma=90.00
Fractional coordinates of all 5 atoms:
Ti1 0.500 0.500 0.500
Pt1 0.500 0.000 0.000
Pt2 0.000 0.000 0.500
Al1 0.000 0.500 0.000
Tc1 0.000 0.000 0.000

Properties
E_tot (eV/cell): -30.028



# 8
# TiAlTcPt

TiAlTcPt after structural relaxation (PBE, Alexandria via LeMat-Bulk).

Unit cell a=4.358 b=4.358 c=4.358 alpha=60.00 beta=60.00 gamma=60.00
Fractional coordinates of all 4 atoms:
Al1 0.500 0.500 0.500
Tc1 0.750 0.750 0.750
Pt1 0.250 0.250 0.250
Ti1 0.000 0.000 0.000

Properties
E_tot (eV/cell): -31.440



# 9
# Ti2Al5TcPt2

Ti2Al5TcPt2 after structural relaxation (PBE, Alexandria via LeMat-Bulk).

Unit cell a=4.021 b=8.885 c=8.885 alpha=90.00 beta=90.00 gamma=90.00
Fractional coordinates of all 20 atoms:
Al1 0.500 0.934 0.197
Al2 0.500 0.066 0.803
Al3 0.500 0.197 0.066
Al4 0.500 0.303 0.566
Al5 0.500 0.803 0.934
Al6 0.500 0.697 0.434
Al7 0.500 0.566 0.697
Al8 0.500 0.434 0.303
Al9 0.500 0.000 0.500
Al10 0.500 0.500 0.000
Pt1 0.000 0.628 0.872
Pt2 0.000 0.372 0.128
Pt3 0.000 0.872 0.372
Pt4 0.000 0.128 0.628
Ti1 0.000 0.831 0.669
Ti2 0.000 0.169 0.331
Ti3 0.000 0.331 0.831
Ti4 0.000 0.669 0.169
Tc1 0.000 0.000 0.000
Tc2 0.000 0.500 0.500

Properties
E_tot (eV/cell): -125.691



# 10
# AlZnTcPt

AlZnTcPt after structural relaxation (PBE, Alexandria via LeMat-Bulk).

Unit cell a=4.321 b=4.321 c=4.321 alpha=60.00 beta=60.00 gamma=60.00
Fractional coordinates of all 4 atoms:
Al1 0.000 0.000 0.000
Pt1 0.750 0.750 0.750
Zn1 0.500 0.500 0.500
Tc1 0.250 0.250 0.250

Properties
E_tot (eV/cell): -23.055



# 11
# Al2TePt

Al2TePt after structural relaxation (PBE, Alexandria via LeMat-Bulk).

Unit cell a=6.437 b=6.437 c=6.437 alpha=36.52 beta=36.52 gamma=36.52
Fractional coordinates of all 4 atoms:
Al1 0.194 0.194 0.194
Al2 0.976 0.976 0.976
Pt1 0.587 0.587 0.587
Te1 0.743 0.743 0.743

Properties
Formation energy from raw total energies (eV/atom): -0.48
E_tot (eV/cell): -18.591



# 12
# AlTePt2

AlTePt2 after structural relaxation (PBE, Alexandria via LeMat-Bulk).

Unit cell a=4.433 b=4.435 c=3.621 alpha=90.00 beta=90.00 gamma=90.00
Fractional coordinates of all 4 atoms:
Pt1 0.500 0.500 0.000
Pt2 0.000 0.000 0.000
Te1 0.500 0.000 0.500
Al1 0.000 0.500 0.500

Properties
Formation energy from raw total energies (eV/atom): -0.21
E_tot (eV/cell): -19.801
Energy above the lowest structure with this stoichiometry (meV/atom): 238